# ZrCoSb3

A crystal of ZrCoSb3 relaxed with PBEsol (meta-GGA SCAN, Alexandria via LeMat-Bulk).

a = 5.4080 Å, b = 5.4080 Å, c = 5.4080 Å
α = 90.00°, β = 90.00°, γ = 90.00°
Atoms (fractional coordinates):
1 Zr 0.0000 0.0000 0.0000
2 Co 0.5000 0.5000 0.5000
3 Sb 0.0000 0.0000 0.5000
4 Sb 0.0000 0.5000 0.0000
5 Sb 0.5000 0.0000 0.0000

Density in g/cm3: 5.4
Uncorrected formation energy in eV per atom: 0.890

# Li2AlZn2

A crystal of Li2AlZn2 relaxed with PBEsol (meta-GGA SCAN, Alexandria via LeMat-Bulk).

a = 6.8710 Å, b = 6.8710 Å, c = 3.1501 Å
α = 90.00°, β = 90.00°, γ = 90.00°
Atoms (fractional coordinates):
1 Li 0.1658 0.3342 0.0000
2 Li 0.3342 0.8342 0.0000
3 Li 0.6658 0.1658 0.0000
4 Li 0.8342 0.6658 0.0000
5 Al 0.0000 0.0000 0.5000
6 Al 0.5000 0.5000 0.5000
7 Zn 0.1313 0.6313 0.5000
8 Zn 0.3687 0.1313 0.5000
9 Zn 0.6313 0.8687 0.5000
10 Zn 0.8687 0.3687 0.5000

Density in g/cm3: 3.8
DFT formation energy in meV per atom: -134

# CsSc2W

A crystal of CsSc2W relaxed with PBEsol (meta-GGA SCAN, Alexandria via LeMat-Bulk).

a = 7.0906 Å, b = 7.0906 Å, c = 7.0906 Å
α = 90.00°, β = 90.00°, γ = 90.00°
Atoms (fractional coordinates):
1 Cs 0.0000 0.0000 0.0000
2 Cs 0.0000 0.5000 0.5000
3 Cs 0.5000 0.0000 0.5000
4 Cs 0.5000 0.5000 0.0000
5 Sc 0.2500 0.2500 0.2500
6 Sc 0.2500 0.2500 0.7500
7 Sc 0.2500 0.7500 0.2500
8 Sc 0.2500 0.7500 0.7500
9 Sc 0.7500 0.2500 0.2500
10 Sc 0.7500 0.2500 0.7500
11 Sc 0.7500 0.7500 0.2500
12 Sc 0.7500 0.7500 0.7500
13 W 0.0000 0.0000 0.5000
14 W 0.0000 0.5000 0.0000
15 W 0.5000 0.0000 0.0000
16 W 0.5000 0.5000 0.5000

Density in g/cm3: 7.6
DFT formation energy in meV per atom: 1339

# SbPb2Au

A crystal of SbPb2Au relaxed with PBEsol (meta-GGA SCAN, Alexandria via LeMat-Bulk).

a = 4.2172 Å, b = 4.3421 Å, c = 11.6557 Å
α = 90.00°, β = 90.00°, γ = 90.00°
Atoms (fractional coordinates):
1 Sb 0.0000 0.0000 0.0000
2 Sb 0.0000 0.5000 0.5000
3 Pb 0.0000 0.0000 0.2793
4 Pb 0.0000 0.5000 0.7793
5 Pb 0.5000 0.0000 0.5875
6 Pb 0.5000 0.5000 0.0875
7 Au 0.5000 0.0000 0.8359
8 Au 0.5000 0.5000 0.3359

Density in g/cm3: 11.4
Uncorrected formation energy in eV per atom: -0.058

# LiMg2ZrCu

A crystal of LiMg2ZrCu relaxed with PBEsol (meta-GGA SCAN, Alexandria via LeMat-Bulk).

a = 4.5285 Å, b = 4.5285 Å, c = 4.2602 Å
α = 90.00°, β = 90.00°, γ = 90.00°
Atoms (fractional coordinates):
1 Li 0.0000 0.0000 0.0000
2 Mg 0.0000 0.5000 0.0000
3 Mg 0.5000 0.0000 0.0000
4 Zr 0.5000 0.5000 0.5000
5 Cu 0.0000 0.0000 0.5000

Density in g/cm3: 4.0
DFT formation energy in meV per atom: 357

# Ta3Br

A crystal of Ta3Br relaxed with PBEsol (meta-GGA SCAN, Alexandria via LeMat-Bulk).

a = 4.6808 Å, b = 4.6808 Å, c = 3.2382 Å
α = 90.00°, β = 90.00°, γ = 90.00°
Atoms (fractional coordinates):
1 Ta 0.0000 0.0000 0.0000
2 Ta 0.0000 0.5000 0.5000
3 Ta 0.5000 0.0000 0.5000
4 Br 0.5000 0.5000 0.0000

Density in g/cm3: 14.6
Uncorrected formation energy in eV per atom: 0.725

> density of number 4 (SbPb2Au)?

11.4 g/cm3

> Which of these has the highest density?

Ta3Br